The following is a PBE-GGA calculation of a relaxed Mo crystal, from the Alexandria database.

Cell and atoms, written as CIF:
```
data_Mo
_cell_length_a 3.069
_cell_length_b 4.394
_cell_length_c 9.806
_cell_angle_alpha 90.00
_cell_angle_beta 90.00
_cell_angle_gamma 90.00
_symmetry_space_group_name_H-M 'F m m m'
_symmetry_Int_Tables_number 69
_symmetry_space_group_name_Hall '-F 2 2'
loop_
_atom_site_label
_atom_site_fract_x
_atom_site_fract_y
_atom_site_fract_z
Mo1 0.000 0.000 0.133
```

Computed properties:
- formation enthalpy at 0 K (eV/atom) = 0.52
- uncorrected energy (eV/f.u.) = -10.3
- V (Å³ per cell) = 132.23
- density of states at the Fermi level (states/eV per atom) = 0.61

***

The following is a PBE-GGA calculation of a relaxed KMg2Be crystal, from the Alexandria database.

Cell and atoms, written as CIF:
```
data_KMg2Be
_cell_length_a 7.995
_cell_length_b 4.606
_cell_length_c 7.002
_cell_angle_alpha 90.00
_cell_angle_beta 112.18
_cell_angle_gamma 90.00
_symmetry_space_group_name_H-M 'C 1 2/m 1'
_symmetry_Int_Tables_number 12
loop_
_symmetry_equiv_pos_as_xyz
'x,y,z'
'-x,-y,-z'
'-x,y,-z'
'x,-y,z'
'x+1/2,y+1/2,z'
'-x+1/2,-y+1/2,-z'
'-x+1/2,y+1/2,-z'
'x+1/2,-y+1/2,z'
loop_
_atom_site_label
_atom_site_fract_x
_atom_site_fract_y
_atom_site_fract_z
K1 0.000 0.000 0.000
Mg1 0.194 0.000 0.583
Be1 0.000 0.500 0.500
```

Computed properties:
- formation enthalpy at 0 K (eV/atom) = 0.39
- uncorrected energy (eV/f.u.) = -6.4
- V (Å³ per cell) = 238.81
- density of states at the Fermi level (states/eV per atom) = 0.64

***

The following is a PBE-GGA calculation of a relaxed Sr2CoSiC crystal, from the Alexandria database.

Cell and atoms, written as CIF:
```
data_Sr2CoSiC
_cell_length_a 5.873
_cell_length_b 5.873
_cell_length_c 4.216
_cell_angle_alpha 90.00
_cell_angle_beta 90.00
_cell_angle_gamma 90.00
_symmetry_space_group_name_H-M 'P 4/m m m'
_symmetry_Int_Tables_number 123
_symmetry_space_group_name_Hall '-P 4 2'
loop_
_atom_site_label
_atom_site_fract_x
_atom_site_fract_y
_atom_site_fract_z
Sr1 0.000 0.500 0.000
Co1 0.000 0.000 0.500
Si1 0.000 0.000 0.000
C1 0.500 0.500 0.500
```

Computed properties:
- uncorrected energy (eV/f.u.) = -19.7
- V (Å³ per cell) = 145.40
- formation energy without anion corrections (eV per atom) = 1.075
- density of states at the Fermi level (states/eV per atom) = 1.31

***

The following is a PBE-GGA calculation of a relaxed K3La2BiS6 crystal, from the Alexandria database.

Cell and atoms, written as CIF:
```
data_K3La2BiS6
_cell_length_a 7.357
_cell_length_b 12.742
_cell_length_c 7.787
_cell_angle_alpha 90.00
_cell_angle_beta 108.34
_cell_angle_gamma 90.00
_symmetry_space_group_name_H-M 'C 1 2/m 1'
_symmetry_Int_Tables_number 12
loop_
_symmetry_equiv_pos_as_xyz
'x,y,z'
'-x,-y,-z'
'-x,y,-z'
'x,-y,z'
'x+1/2,y+1/2,z'
'-x+1/2,-y+1/2,-z'
'-x+1/2,y+1/2,-z'
'x+1/2,-y+1/2,z'
loop_
_atom_site_label
_atom_site_fract_x
_atom_site_fract_y
_atom_site_fract_z
K1 0.000 0.000 0.000
K2 0.000 0.335 0.000
La1 0.000 0.167 0.500
Bi1 0.000 0.500 0.500
S1 0.235 0.335 0.709
S2 0.239 0.000 0.708
```

Computed properties:
- uncorrected energy (eV/f.u.) = -60.4
- V (Å³ per cell) = 692.92
- formation energy without anion corrections (eV per atom) = -1.551
- density of states at the Fermi level (states/eV per atom) = 0.00

***

The following is a PBE-GGA calculation of a relaxed Mg16Al12Cl crystal, from the Alexandria database.

Cell and atoms, written as CIF:
```
data_Mg16Al12Cl
_cell_length_a 10.581
_cell_length_b 10.581
_cell_length_c 10.581
_cell_angle_alpha 90.00
_cell_angle_beta 90.00
_cell_angle_gamma 90.00
_symmetry_space_group_name_H-M 'I -4 3 m'
_symmetry_Int_Tables_number 217
_symmetry_space_group_name_Hall 'I -4 2 3'
loop_
_atom_site_label
_atom_site_fract_x
_atom_site_fract_y
_atom_site_fract_z
Mg1 0.051 0.360 0.640
Mg2 0.148 0.148 0.148
Al1 0.096 0.096 0.715
Cl1 0.000 0.000 0.000
```

Computed properties:
- uncorrected energy (eV/f.u.) = -73.3
- V (Å³ per cell) = 1184.77
- formation energy without anion corrections (eV per atom) = -0.035
- density of states at the Fermi level (states/eV per atom) = 0.46

***

The following is a PBE-GGA calculation of a relaxed Cr3H12Pt5 crystal, from the Alexandria database.

Cell and atoms, written as CIF:
```
data_Cr3H12Pt5
_cell_length_a 11.159
_cell_length_b 11.159
_cell_length_c 11.159
_cell_angle_alpha 90.00
_cell_angle_beta 90.00
_cell_angle_gamma 90.00
_symmetry_space_group_name_H-M 'I a -3 d'
_symmetry_Int_Tables_number 230
_symmetry_space_group_name_Hall '-I 4bd 2c 3'
loop_
_atom_site_label
_atom_site_fract_x
_atom_site_fract_y
_atom_site_fract_z
Cr1 0.000 0.250 0.125
H1 0.018 0.062 0.652
Pt1 0.000 0.000 0.000
Pt2 0.000 0.250 0.375
```

Computed properties:
- uncorrected energy (eV/f.u.) = -96.6
- V (Å³ per cell) = 1389.49
- density of states at the Fermi level (states/eV per atom) = 0.36